Model i:
Entry from Alexandria: a relaxed Dy6In2Ir crystal (PBE).

Lattice parameters (Å, degrees): 5.074 7.258 14.927 90.00 90.00 90.00
Space group Immm (No. 71)
Inequivalent atoms, fractional coordinates:
1 Dy 0.000 0.225 0.000
2 Dy 0.000 0.262 0.345
3 In 0.000 0.500 0.167
4 Ir 0.000 0.500 0.500

Results
theoretical density	8.4	g/cm3

Model ii:
Entry from Alexandria: a relaxed Dy6In2Ir crystal (PBE).

Lattice parameters (Å, degrees): 3.850 14.904 8.669 90.00 90.00 90.00
Space group Amm2 (No. 38)
Inequivalent atoms, fractional coordinates:
1 Dy 0.000 0.000 0.000
2 Dy 0.000 0.119 0.631
3 Dy 0.500 0.000 0.359
4 Dy 0.500 0.195 0.947
5 In 0.000 0.168 0.253
6 Ir 0.500 0.000 0.761

Results
theoretical density	9.3	g/cm3

Of them, model i has the lowest stability.

Model i:
Entry from Alexandria: a relaxed La3Dy3In2 crystal (PBE).

Lattice parameters (Å, degrees): 8.8884 8.8884 10.9561 90.00 90.00 120.00
Space group R32 (No. 155, hexagonal axes)
Inequivalent atoms, fractional coordinates:
1 La 0.0000 0.2564 0.0000
2 Dy 0.0000 0.7575 0.5000
3 In 0.0000 0.0000 0.2515

Results
theoretical density	7.5	g/cm3

Model ii:
Entry from Alexandria: a relaxed La3Dy3In2 crystal (PBE).

Lattice parameters (Å, degrees): 5.192 11.958 16.928 90.00 90.00 90.00
Space group Cmcm (No. 63)
Inequivalent atoms, fractional coordinates:
1 La 0.000 0.048 0.104
2 La 0.000 0.282 0.250
3 Dy 0.000 0.365 0.044
4 Dy 0.000 0.437 0.750
5 In 0.000 0.242 0.623

Results
theoretical density	7.2	g/cm3

Of them, model ii has the lowest stability.

Model i:
Entry from Alexandria: a relaxed LaDy2In6 crystal (PBE).

Lattice parameters (Å, degrees): 4.650 7.691 14.511 90.00 90.00 90.00
Space group Immm (No. 71)
Inequivalent atoms, fractional coordinates:
1 La 0.000 0.000 0.000
2 Dy 0.000 0.500 0.121
3 In 0.000 0.189 0.500
4 In 0.000 0.304 0.310

Results
theoretical density	7.4	g/cm3

Model ii:
Entry from Alexandria: a relaxed LaDy2In6 crystal (PBE).

Lattice parameters (Å, degrees): 8.6917 8.6917 3.6231 90.00 90.00 120.00
Space group P6/mmm (No. 191)
Inequivalent atoms, fractional coordinates:
1 La 0.0000 0.0000 0.0000
2 Dy 0.3333 0.6667 0.0000
3 In 0.0000 0.3362 0.5000

Results
theoretical density	8.1	g/cm3

Of them, model i has the lowest stability.

Model i:
Entry from Alexandria: a relaxed La2DyIn crystal (PBE).

Lattice parameters (Å, degrees): 4.923 4.923 5.134 90.00 90.00 90.00
Space group P4/mmm (No. 123)
Inequivalent atoms, fractional coordinates:
1 La 0.000 0.500 0.000
2 Dy 0.000 0.000 0.500
3 In 0.500 0.500 0.500

Results
theoretical density	7.4	g/cm3

Model ii:
Entry from Alexandria: a relaxed La2DyIn crystal (PBE).

Lattice parameters (Å, degrees): 3.7054 3.7054 33.7614 90.00 90.00 120.00
Space group R3m (No. 160, hexagonal axes)
Inequivalent atoms, fractional coordinates:
1 La 0.0000 0.0000 0.0000
2 La 0.0000 0.0000 0.1742
3 Dy 0.0000 0.0000 0.7535
4 In 0.0000 0.0000 0.5872

Results
theoretical density	6.9	g/cm3

Model iii:
Entry from Alexandria: a relaxed La2DyIn crystal (PBE).

Lattice parameters (Å, degrees): 3.733 3.733 9.468 90.00 90.00 90.00
Space group P4/mmm (No. 123)
Inequivalent atoms, fractional coordinates:
1 La 0.000 0.000 0.229
2 Dy 0.500 0.500 0.500
3 In 0.500 0.500 0.000

Results
theoretical density	7.0	g/cm3

Of them, model ii has the lowest stability.

Model i:
Entry from Alexandria: a relaxed La2DyIn crystal (PBE).

Lattice parameters (Å, degrees): 7.992 7.992 7.992 90.00 90.00 90.00
Space group Fm-3m (No. 225)
Inequivalent atoms, fractional coordinates:
1 La 0.250 0.250 0.250
2 Dy 0.000 0.000 0.000
3 In 0.000 0.000 0.500

Results
theoretical density	7.2	g/cm3

Model ii:
Entry from Alexandria: a relaxed La2DyIn crystal (PBE).

Lattice parameters (Å, degrees): 6.955 5.318 7.064 90.00 100.98 90.00
Space group P2_1/m (No. 11)
Inequivalent atoms, fractional coordinates:
1 La 0.082 0.250 0.316
2 La 0.398 0.750 0.617
3 Dy 0.308 0.750 0.092
4 In 0.197 0.250 0.840

Results
theoretical density	7.2	g/cm3

Of them, model i has the lowest stability.

Model i:
Entry from Alexandria: a relaxed LaDyIn6 crystal (PBE).

Lattice parameters (Å, degrees): 5.287 6.764 11.710 90.00 90.00 90.00
Space group Amm2 (No. 38)
Inequivalent atoms, fractional coordinates:
1 La 0.000 0.000 0.000
2 Dy 0.500 0.000 0.667
3 In 0.000 0.000 0.495
4 In 0.000 0.242 0.253
5 In 0.500 0.000 0.177
6 In 0.500 0.234 0.412

Results
theoretical density	7.9	g/cm3

Model ii:
Entry from Alexandria: a relaxed LaDyIn6 crystal (PBE).

Lattice parameters (Å, degrees): 4.718 4.718 9.404 90.00 90.00 90.00
Space group P4/mmm (No. 123)
Inequivalent atoms, fractional coordinates:
1 La 0.000 0.000 0.000
2 Dy 0.000 0.000 0.500
3 In 0.000 0.500 0.257
4 In 0.500 0.500 0.000
5 In 0.500 0.500 0.500

Results
theoretical density	7.9	g/cm3

Of them, model i has the lowest stability.

Model i:
Entry from Alexandria: a relaxed La3DyIn crystal (PBE).

Lattice parameters (Å, degrees): 5.896 8.935 13.044 90.00 90.00 90.00
Space group Pnma (No. 62)
Inequivalent atoms, fractional coordinates:
1 La 0.122 0.250 0.056
2 La 0.143 0.071 0.831
3 Dy 0.061 0.250 0.315
4 In 0.142 0.250 0.580

Results
theoretical density	6.7	g/cm3

Model ii:
Entry from Alexandria: a relaxed La3DyIn crystal (PBE).

Lattice parameters (Å, degrees): 4.963 26.274 4.945 90.00 90.00 90.00
Space group Cmcm (No. 63)
Inequivalent atoms, fractional coordinates:
1 La 0.000 0.054 0.250
2 La 0.000 0.250 0.250
3 La 0.000 0.442 0.250
4 Dy 0.000 0.347 0.750
5 In 0.000 0.153 0.750

Results
theoretical density	7.1	g/cm3

Of them, model i has the lowest stability.

Model i:
Entry from Alexandria: a relaxed La2Dy2In crystal (PBE).

Lattice parameters (Å, degrees): 12.303 5.560 9.713 90.00 104.83 90.00
Space group C2/m (No. 12)
Inequivalent atoms, fractional coordinates:
1 La 0.024 0.000 0.336
2 La 0.163 0.000 0.051
3 Dy 0.022 0.500 0.844
4 Dy 0.150 0.500 0.555
5 In 0.245 0.500 0.270

Results
theoretical density	7.4	g/cm3

Model ii:
Entry from Alexandria: a relaxed La2Dy2In crystal (PBE).

Lattice parameters (Å, degrees): 9.516 5.560 6.708 90.00 117.23 90.00
Space group C2/m (No. 12)
Inequivalent atoms, fractional coordinates:
1 La 0.183 0.000 0.050
2 Dy 0.105 0.500 0.317
3 In 0.000 0.000 0.500

Results
theoretical density	7.6	g/cm3

Of them, model ii has the lowest stability.

Model i:
Entry from Alexandria: a relaxed LaDyIn crystal (PBE).

Lattice parameters (Å, degrees): 3.635 3.635 14.111 90.00 90.00 90.00
Space group I4mm (No. 107)
Inequivalent atoms, fractional coordinates:
1 La 0.000 0.000 0.000
2 Dy 0.000 0.000 0.305
3 In 0.000 0.000 0.664

Results
theoretical density	7.4	g/cm3

Model ii:
Entry from Alexandria: a relaxed LaDyIn crystal (PBE).

Lattice parameters (Å, degrees): 5.5359 5.5359 6.8472 90.00 90.00 120.00
Space group P6_3/mmc (No. 194)
Inequivalent atoms, fractional coordinates:
1 La 0.0000 0.0000 0.0000
2 Dy 0.3333 0.6667 0.2500
3 In 0.3333 0.6667 0.7500

Results
theoretical density	7.6	g/cm3

Model iii:
Entry from Alexandria: a relaxed LaDyIn crystal (PBE).

Lattice parameters (Å, degrees): 5.3330 5.3330 3.7747 90.00 90.00 120.00
Space group P3m1 (No. 156)
Inequivalent atoms, fractional coordinates:
1 La 0.0000 0.0000 0.0000
2 Dy 0.3333 0.6667 0.5568
3 In 0.6667 0.3333 0.3970

Results
theoretical density	7.4	g/cm3

Of them, model iii has the lowest stability.

Model i:
Entry from Alexandria: a relaxed La5DyIn2 crystal (PBE).

Lattice parameters (Å, degrees): 5.259 12.297 16.601 90.00 90.00 90.00
Space group Cmcm (No. 63)
Inequivalent atoms, fractional coordinates:
1 La 0.000 0.030 0.250
2 La 0.000 0.146 0.527
3 La 0.000 0.466 0.604
4 Dy 0.000 0.247 0.750
5 In 0.000 0.272 0.150

Results
theoretical density	6.7	g/cm3

Model ii:
Entry from Alexandria: a relaxed La5DyIn2 crystal (PBE).

Lattice parameters (Å, degrees): 7.979 16.558 3.841 90.00 90.00 90.00
Space group Pbam (No. 55)
Inequivalent atoms, fractional coordinates:
1 La 0.000 0.000 0.000
2 La 0.014 0.248 0.000
3 La 0.225 0.871 0.500
4 Dy 0.000 0.500 0.000
5 In 0.231 0.620 0.500

Results
theoretical density	7.1	g/cm3

Of them, model i has the lowest stability.

Model i:
Entry from Alexandria: a relaxed La2Dy3In crystal (PBE).

Lattice parameters (Å, degrees): 5.540 17.945 3.869 90.00 90.00 90.00
Space group Cmmm (No. 65)
Inequivalent atoms, fractional coordinates:
1 La 0.000 0.182 0.000
2 Dy 0.000 0.000 0.500
3 Dy 0.000 0.359 0.500
4 In 0.000 0.500 0.000

Results
theoretical density	7.6	g/cm3

Model ii:
Entry from Alexandria: a relaxed La2Dy3In crystal (PBE).

Lattice parameters (Å, degrees): 17.569 6.356 6.981 90.00 90.00 90.00
Space group Cmcm (No. 63)
Inequivalent atoms, fractional coordinates:
1 La 0.181 0.033 0.250
2 Dy 0.000 0.178 0.750
3 Dy 0.135 0.500 0.000
4 In 0.000 0.307 0.250

Results
theoretical density	7.5	g/cm3

Of them, model ii has the lowest stability.